Density functional theory data (PBE with a Hubbard U) for a relaxed BeNi3O crystal.

a = 3.7006 Å, b = 3.7006 Å, c = 3.7006 Å
α = 90.00°, β = 90.00°, γ = 90.00°
With the nearest neighbours (Å) after each atom.
Space group Pm-3m (No. 221)
Inequivalent atoms, fractional coordinates:
Be 0.0000 0.0000 0.0000 x1  12 Ni 2.62
Ni 0.0000 0.5000 0.5000 x3  2 O 1.85
O 0.5000 0.5000 0.5000 x1  6 Ni 1.85

Results
- Uncorrected energy: -2.81 eV per atom
- ΔE to the lowest computed polymorph: 0.0 meV per atom
- Mass density: 6.589 g/cm3